## Be2CdIr (GGA-PBE)

Data for Be2CdIr after structural relaxation.

**Total DFT energy (no corrections)**: -0.2959 Ry/atom
**DFT formation energy**: 27.14 kJ/mol of atoms
**Volume**: 165.25 Å³/cell

Unit cell a=2.7918 b=2.7918 c=24.4815 alpha=90.00 beta=90.00 gamma=120.00
Closest atoms and distances in Å follow each position.
Space group R3m (No. 160, hexagonal axes)
Symmetry-distinct sites (fractional):
Be: 0.0000 0.0000 0.0000  3 Ir 2.30, 3 Be 2.37
Be: 0.0000 0.0000 0.2624  3 Be 2.37
Cd: 0.0000 0.0000 0.5025  6 Cd 2.79, 3 Be 2.79, 3 Ir 2.97
Ir: 0.0000 0.0000 0.7337  3 Be 2.30

## SmErTi2Fe22 (GGA-PBE)

Data for SmErTi2Fe22 after structural relaxation.

**Total DFT energy (no corrections)**: -0.6024 Ry/atom
**DFT formation energy**: -6.82 kJ/mol of atoms
**Volume**: 677.27 Å³/cell

Unit cell a=11.9968 b=4.7009 c=12.0092 alpha=90.00 beta=90.31 gamma=90.00
Closest atoms and distances in Å follow each position.
Space group Cm (No. 8)
Symmetry-distinct sites (fractional):
Sm: 0.0000 0.0000 0.0000  19 Fe 2.98-3.27, 1 Ti 3.19
Er: 0.0005 0.5000 0.4996  19 Fe 2.96-3.26, 1 Ti 3.18
Ti: 0.3121 0.0000 0.6854  6 Fe 2.36-2.63
Ti: 0.3137 0.5000 0.1888  4 Fe 2.35-2.63
Fe: 0.1043 0.0000 0.6097  9 Fe 2.43-2.70, 1 Ti 2.65
Fe: 0.1087 0.5000 0.1154  8 Fe 2.43-2.70, 1 Ti 2.61
Fe: 0.1134 0.0000 0.3876  10 Fe 2.41-2.68
Fe: 0.1137 0.5000 0.8851  8 Fe 2.43-2.58
Fe: 0.1740 0.0000 0.8242  1 Ti 2.36, 6 Fe 2.57-2.59
Fe: 0.1751 0.5000 0.3268  1 Ti 2.35, 6 Fe 2.55-2.57
Fe: 0.1745 0.5000 0.6789  9 Fe 2.44-2.63
Fe: 0.1766 0.0000 0.1822  9 Fe 2.44-2.61
Fe: 0.2475 0.2506 0.5014  9 Fe 2.34-2.59, 1 Ti 2.62
Fe: 0.2476 0.2495 0.0018  9 Fe 2.35-2.61
Fe: 0.3182 0.5000 0.8230  9 Fe 2.44-2.62
Fe: 0.3206 0.0000 0.3260  9 Fe 2.44-2.63
Fe: 0.3836 0.0000 0.1178  8 Fe 2.44-2.73, 2 Ti 2.64
Fe: 0.3837 0.5000 0.6151  8 Fe 2.43-2.65, 2 Ti 2.64
Fe: 0.3852 0.0000 0.8907  7 Fe 2.43-2.65, 1 Ti 2.61
Fe: 0.3901 0.5000 0.3963  9 Fe 2.43-2.71, 1 Ti 2.65
Fe: 0.4977 0.2500 0.7508  9 Fe 2.35-2.61
Fe: 0.4991 0.2489 0.2542  9 Fe 2.34-2.59

## RbTl2PRu (GGA-PBE)

Data for RbTl2PRu after structural relaxation.

**Total DFT energy (no corrections)**: -0.2151 Ry/atom
**DFT formation energy**: 111.03 kJ/mol of atoms
**Volume**: 176.00 Å³/cell

Unit cell a=5.3057 b=5.3057 c=6.2522 alpha=90.00 beta=90.00 gamma=90.00
Closest atoms and distances in Å follow each position.
Space group P4/mmm (No. 123)
Symmetry-distinct sites (fractional):
Rb: 0.0000 0.0000 0.0000  2 P 3.13
Tl: 0.0000 0.5000 0.5000  2 P 2.65
P: 0.0000 0.0000 0.5000  4 Tl 2.65
Ru: 0.5000 0.5000 0.0000  4 Rb 3.75, 8 Tl 4.10

## La2BSbRh6 (GGA-PBE)

Data for La2BSbRh6 after structural relaxation.

**Energy relative to the elements, uncorrected**: -6.3 eV per formula unit
**Total DFT energy (no corrections)**: -0.5226 Ry/atom
**Volume**: 371.13 Å³/cell

Unit cell a=5.8176 b=8.6864 c=7.3441 alpha=90.00 beta=90.00 gamma=90.00
Closest atoms and distances in Å follow each position.
Space group Pmmn (No. 59, origin choice 2)
Symmetry-distinct sites (fractional):
La: 0.2500 0.0251 0.2169  7 Rh 2.92-3.23
B: 0.2500 0.2500 0.6803  6 Rh 2.06-2.11
Sb: 0.2500 0.7500 0.8241  6 Rh 2.59-2.71
Rh: 0.0062 0.2500 0.8880  1 B 2.08
Rh: 0.0171 0.7500 0.5043  1 B 2.06
Rh: 0.2500 0.0102 0.6370  1 B 2.11

## Dy2Ho6Tm3Sc (GGA-PBE)

Data for Dy2Ho6Tm3Sc after structural relaxation.

**Total DFT energy (no corrections)**: -0.3434 Ry/atom
**DFT formation energy**: 2.82 kJ/mol of atoms
**Volume**: 724.36 Å³/cell

Unit cell a=6.0573 b=10.4801 c=11.5869 alpha=90.00 beta=100.01 gamma=90.00
Closest atoms and distances in Å follow each position.
Space group C2/m (No. 12)
Symmetry-distinct sites (fractional):
Dy: 0.0000 0.1666 0.0000  6 Ho 3.49, 3 Dy 3.49-3.50, 3 Sc 3.49-3.50
Ho: 0.2480 0.3345 0.2490  6 Ho 3.47-3.51, 1 Sc 3.48, 2 Dy 3.49, 3 Tm 3.50-3.51
Ho: 0.2488 0.5000 0.7507  6 Ho 3.47-3.51, 1 Sc 3.48, 2 Dy 3.49, 3 Tm 3.50-3.51
Tm: 0.0000 0.0000 0.5000  6 Tm 3.49-3.50, 6 Ho 3.50-3.51
Tm: 0.0000 0.3336 0.5000  6 Tm 3.49-3.50, 6 Ho 3.50-3.51
Sc: 0.0000 0.5000 0.0000  6 Ho 3.48, 6 Dy 3.49-3.50

## Ce4InRu (GGA-PBE)

Data for Ce4InRu after structural relaxation.

**Total DFT energy (no corrections)**: -0.4555 Ry/atom
**DFT formation energy**: -23.01 kJ/mol of atoms
**Volume**: 603.73 Å³/cell

Unit cell a=8.4307 b=12.8075 c=5.8462 alpha=90.00 beta=106.98 gamma=90.00
Closest atoms and distances in Å follow each position.
Space group C2/c (No. 15)
Symmetry-distinct sites (fractional):
Ce: 0.1133 0.1964 0.1221  2 Ce 2.75-2.95, 1 Ru 3.07
Ce: 0.2310 0.4035 0.3229  1 Ru 2.63
In: 0.0000 0.3859 0.7500  10 Ce 3.21-3.59
Ru: 0.0000 0.0176 0.7500  2 Ce 2.63

## BaZrAu (GGA-PBE)

Data for BaZrAu after structural relaxation.

**Total DFT energy (no corrections)**: -0.3434 Ry/atom
**DFT formation energy**: -8.58 kJ/mol of atoms
**Volume**: 355.74 Å³/cell

Unit cell a=5.3245 b=5.3329 c=12.5283 alpha=90.00 beta=90.00 gamma=90.00
Closest atoms and distances in Å follow each position.
Space group Cmmm (No. 65)
Symmetry-distinct sites (fractional):
Ba: 0.0000 0.0000 0.1672  4 Au 3.39, 4 Ba 3.77
Zr: 0.0000 0.5000 0.3908  1 Zr 2.74, 4 Au 2.99-3.00
Au: 0.0000 0.0000 0.5000  8 Zr 2.99-3.00
Au: 0.0000 0.5000 0.0000  8 Ba 3.39, 4 Au 3.77

## CeSmTlGa (GGA-PBE)

Data for CeSmTlGa after structural relaxation.

**Total DFT energy (no corrections)**: -0.3215 Ry/atom
**DFT formation energy**: -35.05 kJ/mol of atoms
**Volume**: 431.52 Å³/cell

Unit cell a=7.5567 b=7.5567 c=7.5567 alpha=90.00 beta=90.00 gamma=90.00
Closest atoms and distances in Å follow each position.
Space group F-43m (No. 216)
Symmetry-distinct sites (fractional):
Ce: 0.0000 0.0000 0.0000  4 Ga 3.27, 4 Tl 3.27
Sm: 0.0000 0.0000 0.5000  4 Tl 3.27, 4 Ga 3.27
Tl: 0.2500 0.2500 0.2500  4 Ce 3.27, 4 Sm 3.27
Ga: 0.2500 0.2500 0.7500  4 Sm 3.27, 4 Ce 3.27

## La5H12Ru3 (GGA-PBE)

Data for La5H12Ru3 after structural relaxation.

**Total DFT energy (no corrections)**: -0.3437 Ry/atom
**Volume**: 2003.65 Å³/cell

Unit cell a=12.6069 b=12.6069 c=12.6069 alpha=90.00 beta=90.00 gamma=90.00
Closest atoms and distances in Å follow each position.
Space group Ia-3d (No. 230)
Symmetry-distinct sites (fractional):
La: 0.0000 0.0000 0.0000  6 H 2.33
La: 0.0000 0.2500 0.3750  4 H 2.40
H: 0.0142 0.1139 0.6448  1 Ru 1.74
Ru: 0.0000 0.2500 0.1250  4 H 1.74

## CaPr3In3 (GGA-PBE)

Data for CaPr3In3 after structural relaxation.

**Total DFT energy (no corrections)**: -0.2834 Ry/atom
**DFT formation energy**: -33.61 kJ/mol of atoms
**Volume**: 902.73 Å³/cell

Unit cell a=10.9579 b=10.9872 c=7.4980 alpha=90.00 beta=90.00 gamma=90.00
Closest atoms and distances in Å follow each position.
Space group Cmmm (No. 65)
Symmetry-distinct sites (fractional):
Ca: 0.0000 0.2260 0.0000  6 In 3.31-3.60
Pr: 0.0000 0.2450 0.5000  6 In 3.31-3.34, 2 Pr 3.68
Pr: 0.2285 0.0000 0.5000  6 In 3.35-3.46, 2 Pr 3.68
Pr: 0.2366 0.5000 0.0000  6 In 3.26-3.31
In: 0.0000 0.5000 0.2641  6 Pr 3.26-3.46, 1 In 3.54, 2 Ca 3.60
In: 0.2500 0.2500 0.2454  6 Pr 3.31-3.35, 2 Ca 3.31, 1 In 3.68

## NbMoIrOs (GGA-PBE)

Data for NbMoIrOs after structural relaxation.

**Total DFT energy (no corrections)**: -0.7677 Ry/atom
**DFT formation energy**: -18.98 kJ/mol of atoms
**Volume**: 62.40 Å³/cell

Unit cell a=3.8999 b=3.9772 c=4.0230 alpha=90.00 beta=90.00 gamma=90.00
Closest atoms and distances in Å follow each position.
Space group Pmmm (No. 47)
Symmetry-distinct sites (fractional):
Nb: 0.0000 0.0000 0.0000  4 Ir 2.79, 4 Os 2.80, 4 Mo 2.83
Mo: 0.0000 0.5000 0.5000  4 Os 2.79, 4 Ir 2.80, 4 Nb 2.83
Ir: 0.5000 0.5000 0.0000  4 Nb 2.79, 4 Mo 2.80, 4 Os 2.83
Os: 0.5000 0.0000 0.5000  4 Mo 2.79, 4 Nb 2.80, 4 Ir 2.83

## NbZnB (GGA-PBE)

Data for NbZnB after structural relaxation.

**Total DFT energy (no corrections)**: -0.4153 Ry/atom
**DFT formation energy**: 34.44 kJ/mol of atoms
**Volume**: 168.15 Å³/cell

Unit cell a=2.7644 b=5.1035 c=11.9193 alpha=90.00 beta=90.00 gamma=90.00
Closest atoms and distances in Å follow each position.
Space group Immm (No. 71)
Symmetry-distinct sites (fractional):
Nb: 0.0000 0.0000 0.1300  2 B 2.30
Zn: 0.0000 0.0000 0.3586  4 B 2.34
B: 0.0000 0.3333 0.0000  1 B 1.70

Q: The highest total DFT energy (no corrections) belongs to which entry?
A: RbTl2PRu